(1)
This record from the Alexandria database describes a relaxed LiGa6S8 crystal. The functional is PBE.

Values from the calculation:
- E_form (uncorrected): -0.408 eV/atom
- DOS at the Fermi energy: 6.851 states/eV/f.u.
- Total DFT energy (no corrections): -3.95 eV per atom
- Theoretical density: 3301 kg/m3

Cell lengths 7.039, 7.039, 7.039 Å; angles 95.81, 95.81, 95.81 degrees
Element x y z (fractional)
Li 0.000 0.000 0.000
Ga 0.636 0.459 0.837
Ga 0.459 0.837 0.636
Ga 0.837 0.636 0.459
Ga 0.364 0.541 0.163
Ga 0.541 0.163 0.364
Ga 0.163 0.364 0.541
S 0.778 0.778 0.778
S 0.222 0.222 0.222
S 0.606 0.842 0.310
S 0.842 0.310 0.606
S 0.310 0.606 0.842
S 0.394 0.158 0.690
S 0.158 0.690 0.394
S 0.690 0.394 0.158

---

(2)
This record from the Alexandria database describes a relaxed LiGa2S2 crystal. The functional is PBE.

Values from the calculation:
- E_form (uncorrected): -0.491 eV/atom
- DOS at the Fermi energy: 1.716 states/eV/f.u.
- Total DFT energy (no corrections): -3.74 eV per atom
- Theoretical density: 3469 kg/m3

Cell lengths 7.432, 7.432, 3.649 Å; angles 90.00, 90.00, 90.00 degrees
Element x y z (fractional)
S 0.253 0.753 0.000
S 0.753 0.747 0.000
S 0.747 0.247 0.000
S 0.247 0.253 0.000
Ga 0.116 0.616 0.500
Ga 0.616 0.884 0.500
Ga 0.884 0.384 0.500
Ga 0.384 0.116 0.500
Li 0.000 0.000 0.000
Li 0.500 0.500 0.000

---

(3)
This record from the Alexandria database describes a relaxed Li2GaS2 crystal. The functional is PBE.

Values from the calculation:
- E_form (uncorrected): -0.721 eV/atom
- DOS at the Fermi energy: 1.493 states/eV/f.u.
- Total DFT energy (no corrections): -3.74 eV per atom
- Theoretical density: 2918 kg/m3

Cell lengths 6.872, 6.872, 3.560 Å; angles 90.00, 90.00, 90.00 degrees
Element x y z (fractional)
S 0.316 0.816 0.000
S 0.816 0.684 0.000
S 0.684 0.184 0.000
S 0.184 0.316 0.000
Ga 0.000 0.000 0.000
Ga 0.500 0.500 0.000
Li 0.137 0.637 0.500
Li 0.637 0.863 0.500
Li 0.863 0.363 0.500
Li 0.363 0.137 0.500

---

(4)
This record from the Alexandria database describes a relaxed LiGaS crystal. The functional is PBE.

Values from the calculation:
- E_form (uncorrected): -0.782 eV/atom
- DOS at the Fermi energy: 0.328 states/eV/f.u.
- Total DFT energy (no corrections): -3.80 eV per atom
- Theoretical density: 2839 kg/m3

Cell lengths 4.108, 4.108, 9.021 Å; angles 76.84, 76.84, 60.00 degrees
Element x y z (fractional)
Li 0.374 0.374 0.879
Li 0.626 0.626 0.121
S 0.275 0.275 0.176
S 0.725 0.725 0.824
Ga 0.190 0.190 0.430
Ga 0.810 0.810 0.570

---

| no. | calculated volume (A^3/atom) |
| --- | --- |
| 1 | 22.87 |
| 2 | 20.16 |
| 3 | 16.81 |
| 4 | 21.20 |